VASP calculation (GGA-PBE) on a relaxed KYBr4 crystal.

The structure in extended XYZ format:
```
6
Lattice="4.356 0.000 0.000 0.000 7.428 0.173 0.000 0.185 7.427" Properties=species:S:1:pos:R:3 pbc="T T T"
Br 2.178 5.487 2.117
Y 2.178 0.000 0.000
Br 0.000 6.278 6.267
Br 4.356 1.335 1.333
Br 2.178 2.126 5.483
K 0.000 3.806 3.800
```

ΔE_f (raw)	-1.817	eV/atom
E	-25.15	eV per cell
energy above the most stable polymorph in this dataset	0.010	eV/atom
space group	No. 65
total moment	0.0	μB per formula unit
crystal system	orthorhombic